(1)
Computed, not measured: a relaxed MoPdI2O crystal at the PBE with a Hubbard U level of DFT.

Cell and atoms, written as POSCAR:
```
MoPdI2O
1.0
5.6749 0.0000 0.0000
0.0000 5.6749 0.0000
0.0000 0.0000 3.9132
Mo Pd I O
1 1 2 1
Cartesian
0.0000 0.0000 0.0000 Mo
2.8375 2.8375 1.9566 Pd
0.0000 2.8375 1.9566 I
2.8375 0.0000 1.9566 I
2.8375 2.8375 0.0000 O
```

Values from the calculation:
magnetic moment: 5.64 μB/f.u.
ρ: 6.22 g/cm³
total DFT energy (no corrections): -18.89 eV per cell

---

(2)
Computed, not measured: a relaxed MoPdI2O crystal at the PBE with a Hubbard U level of DFT.

Cell and atoms, written as POSCAR:
```
MoPdI2O
1.0
5.8222 0.0000 0.0000
0.0000 5.8222 0.0000
0.0000 0.0000 3.8419
Mo Pd I O
1 1 2 1
Cartesian
0.0000 0.0000 0.0000 Mo
2.9111 2.9111 1.9210 Pd
0.0000 2.9111 0.0000 I
2.9111 0.0000 0.0000 I
0.0000 0.0000 1.9210 O
```

Values from the calculation:
magnetic moment: 1.98 μB/f.u.
ρ: 6.02 g/cm³
total DFT energy (no corrections): -20.68 eV per cell

---

(3)
Computed, not measured: a relaxed MoPdI2O crystal at the PBE with a Hubbard U level of DFT.

Cell and atoms, written as POSCAR:
```
MoPdI2O
1.0
5.7654 0.0000 0.0000
0.0000 5.7654 0.0000
0.0000 0.0000 3.8914
Mo Pd I O
1 1 2 1
Cartesian
0.0000 0.0000 0.0000 Mo
2.8827 2.8827 0.0000 Pd
0.0000 2.8827 1.9457 I
2.8827 0.0000 1.9457 I
2.8827 2.8827 1.9457 O
```

Values from the calculation:
magnetic moment: 2.37 μB/f.u.
ρ: 6.06 g/cm³
total DFT energy (no corrections): -17.39 eV per cell

---

(4)
Computed, not measured: a relaxed MoPtI2O crystal at the PBE with a Hubbard U level of DFT.

Cell and atoms, written as POSCAR:
```
MoPtI2O
1.0
5.7600 0.0000 0.0000
0.0000 5.7600 0.0000
0.0000 0.0000 3.8122
Mo Pt I O
1 1 2 1
Cartesian
0.0000 0.0000 0.0000 Mo
2.8800 2.8800 1.9061 Pt
0.0000 2.8800 0.0000 I
2.8800 0.0000 0.0000 I
0.0000 0.0000 1.9061 O
```

Values from the calculation:
magnetic moment: 1.99 μB/f.u.
ρ: 7.36 g/cm³
total DFT energy (no corrections): -20.14 eV per cell